1.
Entry from Alexandria via LeMat-Bulk: crystalline TbCoGe3 at its relaxed geometry (PBE).

Lattice parameters (Å, degrees): 4.037 8.423 10.376 90.00 90.00 90.00
Element x y z (fractional)
1 Tb 0.750 0.302 0.462
2 Tb 0.250 0.698 0.538
3 Tb 0.250 0.198 0.962
4 Tb 0.750 0.802 0.038
5 Ge 0.750 0.947 0.582
6 Ge 0.250 0.553 0.082
7 Ge 0.750 0.184 0.751
8 Ge 0.750 0.615 0.328
9 Ge 0.250 0.316 0.251
10 Ge 0.750 0.115 0.172
11 Ge 0.750 0.447 0.918
12 Ge 0.250 0.385 0.672
13 Ge 0.250 0.053 0.418
14 Ge 0.250 0.885 0.828
15 Ge 0.250 0.816 0.249
16 Ge 0.750 0.684 0.749
17 Co 0.750 0.919 0.346
18 Co 0.750 0.419 0.154
19 Co 0.250 0.081 0.654
20 Co 0.250 0.581 0.846

Computed properties:
For the formation energy, the calculation gives -0.4937 eV per atom.

2.
Entry from Alexandria via LeMat-Bulk: crystalline TiAgI at its relaxed geometry (PBE).

Lattice parameters (Å, degrees): 3.516 3.515 14.375 90.00 90.00 120.01
Element x y z (fractional)
1 Ag 0.220 0.441 0.868
2 Ag 0.220 0.441 0.132
3 I 0.668 0.336 0.631
4 I 0.668 0.336 0.369
5 Ti 0.555 0.110 0.000
6 Ti 0.335 0.670 0.500

3.
Entry from Alexandria via LeMat-Bulk: crystalline MnFeS2 at its relaxed geometry (PBE).

Lattice parameters (Å, degrees): 3.754 3.751 5.634 90.00 90.26 90.00
Each line ends with the local moment (μB).
Element x y z (fractional)
1 Fe 0.625 0.000 0.625  -2.09
2 S 0.623 0.500 0.399  -0.04
3 S 0.127 0.000 0.851  -0.04
4 Mn 0.125 0.500 0.625  3.04

Values for raw total energy, eV per atom, ordered as above
-5.61; -4.04; -7.01